Entry 1:
Compound: PmYS2O
Source: the Alexandria database
Functional: PBE
Structure: optimized geometry

Calculated values
N(E_F)   0.71 states/eV/f.u.
Energy   -7.396 eV/atom

Unit cell a=3.9339 b=3.9339 c=13.9675 alpha=90.00 beta=90.00 gamma=90.00
With the nearest neighbours (Å) after each atom.
Positions (direct):
Y 0.0000 0.5000 0.8775  1 S 2.50
Y 0.5000 0.0000 0.1225  1 S 2.50
S 0.5000 0.0000 0.3016  1 Y 2.50
S 0.5000 0.0000 0.9101  5 Y 2.82-2.97
S 0.0000 0.5000 0.6984  1 Y 2.50
S 0.0000 0.5000 0.0899  5 Y 2.82-2.97
Pm 0.0000 0.5000 0.4132  4 O 2.31
Pm 0.5000 0.0000 0.5868  4 O 2.31
O 0.0000 0.0000 0.5000  4 Pm 2.31
O 0.5000 0.5000 0.5000  4 Pm 2.31

***

Entry 2:
Compound: Cu2MoPb
Source: the Alexandria database
Functional: PBE
Structure: optimized geometry

Calculated values
N(E_F)   3.29 states/eV/f.u.
Energy relative to the elements   0.549 eV/atom

Unit cell a=4.9534 b=4.9534 c=4.9925 alpha=79.98 beta=79.98 gamma=34.63
With the nearest neighbours (Å) after each atom.
Positions (direct):
Cu 0.9886 0.9886 0.0527  2 Cu 2.50, 2 Mo 2.72
Cu 0.5114 0.5114 0.4473  2 Cu 2.50, 2 Mo 2.72
Pb 0.7500 0.7500 0.7500  4 Mo 2.90, 6 Cu 2.94-3.03, 2 Pb 2.95
Mo 0.2500 0.2500 0.2500  6 Cu 2.72-2.82, 4 Pb 2.90, 2 Mo 2.95

***

Entry 3:
Compound: YZnRe2
Source: the Alexandria database
Functional: PBE
Structure: optimized geometry

Calculated values
N(E_F)   2.85 states/eV/f.u.
Energy relative to the elements   0.334 eV/atom

Unit cell a=9.6989 b=9.6989 c=9.6989 alpha=17.29 beta=17.29 gamma=17.29
With the nearest neighbours (Å) after each atom.
Positions (direct):
Re 0.9976 0.9976 0.9976  9 Re 2.64-2.92, 3 Zn 2.79
Re 0.2600 0.2600 0.2600  9 Re 2.64-2.92
Y 0.5005 0.5005 0.5005  6 Y 2.92, 3 Zn 3.12, 3 Re 3.15
Zn 0.7419 0.7419 0.7419  3 Re 2.79, 6 Zn 2.92, 3 Y 3.12

***

Entry 4:
Compound: Ac8Sm5Dy
Source: the Alexandria database
Functional: PBE
Structure: optimized geometry

Calculated values
N(E_F)   21.18 states/eV/f.u.
Energy relative to the elements   0.260 eV/atom

Unit cell a=9.0856 b=9.0856 c=9.0856 alpha=110.88 beta=110.88 gamma=106.69
With the nearest neighbours (Å) after each atom.
Positions (direct):
Ac 0.0818 0.3421 0.6052  5 Sm 3.58-3.89, 4 Ac 3.82-3.97
Ac 0.5629 0.6592 0.7277  1 Dy 3.38, 4 Sm 3.41-3.70
Ac 0.9315 0.8352 0.2723  1 Dy 3.38, 4 Sm 3.41-3.70
Ac 0.1648 0.4371 0.0963  1 Dy 3.38, 4 Sm 3.41-3.70
Ac 0.7370 0.4766 0.3948  5 Sm 3.58-3.89, 4 Ac 3.82-3.97
Ac 0.3408 0.0685 0.9037  1 Dy 3.38, 4 Sm 3.41-3.70
Ac 0.6579 0.2630 0.7397  5 Sm 3.58-3.89, 4 Ac 3.82-3.97
Ac 0.5234 0.9182 0.2603  5 Sm 3.58-3.89, 4 Ac 3.82-3.97
Sm 0.2726 0.1738 0.2991  8 Ac 3.55-3.92, 2 Sm 3.62
Sm 0.8262 0.1254 0.0989  8 Ac 3.55-3.92, 2 Sm 3.62
Sm 0.0265 0.7274 0.9011  8 Ac 3.55-3.92, 2 Sm 3.62
Sm 0.5000 0.5000 0.0000  8 Ac 3.41-3.58
Sm 0.8746 0.9735 0.7009  8 Ac 3.55-3.92, 2 Sm 3.62
Dy 0.2500 0.7500 0.5000  4 Ac 3.38

***

Entry 5:
Compound: NiHgMo
Source: the Alexandria database
Functional: PBE
Structure: optimized geometry

Calculated values
N(E_F)   1.71 states/eV/f.u.
Energy relative to the elements   0.292 eV/atom
Distance to the lowest polymorph of the same formula   48 meV/atom

Unit cell a=2.7972 b=4.2769 c=8.1440 alpha=90.00 beta=96.85 gamma=90.00
With the nearest neighbours (Å) after each atom.
Positions (direct):
Mo 0.7941 0.0000 0.9380  1 Ni 2.43, 2 Mo 2.66
Mo 0.9964 0.5000 0.7657  6 Ni 2.58-2.79, 4 Mo 2.66-2.80
Ni 0.4057 0.0000 0.6545  3 Mo 2.43-2.64, 2 Ni 2.52
Ni 0.3675 0.5000 0.4903  4 Ni 2.52-2.80, 2 Mo 2.58-2.68, 4 Hg 2.76-2.78
Hg 0.8143 0.0000 0.3591  6 Ni 2.75-2.78, 4 Hg 2.80-3.04
Hg 0.3432 0.5000 0.1285  4 Hg 2.80-3.04, 1 Ni 2.94, 5 Mo 2.96-3.01

***

Entry 6:
Compound: DyHo7Er4
Source: the Alexandria database
Functional: PBE
Structure: optimized geometry

Calculated values
N(E_F)   20.08 states/eV/f.u.
Energy relative to the elements   0.091 eV/atom
Distance to the lowest polymorph of the same formula   0 meV/atom

Unit cell a=6.7219 b=6.4249 c=11.5665 alpha=74.93 beta=50.50 gamma=81.90
With the nearest neighbours (Å) after each atom.
Positions (direct):
Ho 0.0601 0.3154 0.6410  5 Ho 3.35-3.66, 4 Er 3.41-3.48
Ho 0.8015 0.5154 0.9486  5 Ho 3.32-3.51, 4 Er 3.35-3.67, 1 Dy 3.44
Ho 0.2816 0.8091 0.6122  5 Ho 3.22-3.54, 5 Er 3.26-3.55
Ho 0.1985 0.4846 0.0514  5 Ho 3.32-3.51, 4 Er 3.35-3.67, 1 Dy 3.44
Ho 0.5000 0.0000 0.0000  2 Dy 3.36, 4 Er 3.36-3.58, 4 Ho 3.44-3.66
Ho 0.9399 0.6846 0.3590  5 Ho 3.35-3.66, 4 Er 3.41-3.48
Ho 0.7184 0.1909 0.3878  5 Ho 3.22-3.54, 5 Er 3.26-3.55
Er 0.3038 0.1609 0.3115  7 Ho 3.36-3.65, 2 Er 3.46
Er 0.4786 0.3597 0.7147  7 Ho 3.26-3.58, 1 Dy 3.35, 2 Er 3.46
Er 0.6962 0.8391 0.6885  7 Ho 3.36-3.65, 2 Er 3.46
Er 0.5214 0.6403 0.2853  7 Ho 3.26-3.58, 1 Dy 3.35, 2 Er 3.46
Dy 0.0000 0.0000 0.0000  2 Er 3.35, 4 Ho 3.36-3.44

***

Question: N(E_F) of number 4 (Ac8Sm5Dy)?
Answer: 21.18 states/eV/f.u.

***

Question: Which of these has the highest N(E_F)?
Answer: Ac8Sm5Dy

***

Question: The lowest N(E_F) belongs to which entry?
Answer: PmYS2O

***

Please write out number 4 again, unchanged.
Compound: Ac8Sm5Dy
Source: the Alexandria database
Functional: PBE
Structure: optimized geometry

Calculated values
N(E_F)   21.18 states/eV/f.u.
Energy relative to the elements   0.260 eV/atom

Unit cell a=9.0856 b=9.0856 c=9.0856 alpha=110.88 beta=110.88 gamma=106.69
With the nearest neighbours (Å) after each atom.
Positions (direct):
Ac 0.0818 0.3421 0.6052  5 Sm 3.58-3.89, 4 Ac 3.82-3.97
Ac 0.5629 0.6592 0.7277  1 Dy 3.38, 4 Sm 3.41-3.70
Ac 0.9315 0.8352 0.2723  1 Dy 3.38, 4 Sm 3.41-3.70
Ac 0.1648 0.4371 0.0963  1 Dy 3.38, 4 Sm 3.41-3.70
Ac 0.7370 0.4766 0.3948  5 Sm 3.58-3.89, 4 Ac 3.82-3.97
Ac 0.3408 0.0685 0.9037  1 Dy 3.38, 4 Sm 3.41-3.70
Ac 0.6579 0.2630 0.7397  5 Sm 3.58-3.89, 4 Ac 3.82-3.97
Ac 0.5234 0.9182 0.2603  5 Sm 3.58-3.89, 4 Ac 3.82-3.97
Sm 0.2726 0.1738 0.2991  8 Ac 3.55-3.92, 2 Sm 3.62
Sm 0.8262 0.1254 0.0989  8 Ac 3.55-3.92, 2 Sm 3.62
Sm 0.0265 0.7274 0.9011  8 Ac 3.55-3.92, 2 Sm 3.62
Sm 0.5000 0.5000 0.0000  8 Ac 3.41-3.58
Sm 0.8746 0.9735 0.7009  8 Ac 3.55-3.92, 2 Sm 3.62
Dy 0.2500 0.7500 0.5000  4 Ac 3.38